Record 1
The following is a GGA-PBE calculation of a relaxed structure of TaPbSe2, from the Alexandria database.

```
TaPbSe2
1.0
-0.818 6.736 0.342
-3.943 -0.198 -5.530
-6.737 2.581 0.537
Pb Se Ta
2 4 2
Cartesian
0.000 0.000 0.000
-4.968 6.293 -0.858
-2.632 4.367 -0.367
-4.307 1.827 -3.256
-7.109 4.374 -1.924
-8.947 7.670 -3.757
-2.381 3.269 -2.594
-6.530 2.826 -3.794
```

The total magnetic moment comes out at 1.29 μB/f.u. For the raw formation energy, the calculation gives 0.03 eV/atom. The value obtained for the mass density is 7.264 Mg/m³.

Record 2
The following is a GGA-PBE calculation of a relaxed structure of TaPbSe2, from the Alexandria database.

```
TaPbSe2
1.0
-8.884 -3.165 -1.754
-7.568 -3.245 -4.922
-7.052 -5.878 -2.783
Pb Se Ta
1 2 1
Cartesian
-17.716 -9.262 -7.129
-0.292 -0.153 -0.118
-5.395 -2.821 -2.171
-11.853 -6.197 -4.770
```

The total magnetic moment comes out at 0.00 μB/f.u. For the raw formation energy, the calculation gives -0.04 eV/atom. The value obtained for the mass density is 9.473 Mg/m³.

Record 3
The following is a GGA-PBE calculation of a relaxed structure of TaPbSe2, from the Alexandria database.

```
TaPbSe2
1.0
-3.139 -0.545 1.676
-1.412 -1.270 -3.058
2.032 -6.405 1.722
Pb Se Ta
1 2 1
Cartesian
-0.743 -5.739 0.608
0.067 -0.211 0.057
-1.669 -2.822 -0.176
0.841 -2.652 0.713
```

The total magnetic moment comes out at 0.00 μB/f.u. For the raw formation energy, the calculation gives -0.06 eV/atom. The value obtained for the mass density is 10.086 Mg/m³.

Record 4
The following is a GGA-PBE calculation of a relaxed structure of Ta3PbSe6, from the Alexandria database.

```
Ta3PbSe6
1.0
-0.295 0.395 -3.461
3.973 -9.065 -1.372
-13.867 -5.455 0.559
Ta Pb Se
6 2 12
Cartesian
-6.390 -6.518 -2.848
-3.800 -7.608 -1.427
-1.343 -8.321 -3.483
-8.846 -5.805 -0.791
-12.729 -4.693 -2.099
2.540 -9.433 -2.175
-10.697 -9.494 -2.820
0.507 -4.632 -1.454
-7.806 -4.179 -2.460
-2.383 -9.947 -1.814
-0.187 -1.457 -2.799
-10.003 -12.669 -1.476
-5.272 -8.823 -3.206
-4.917 -5.303 -1.069
-2.375 -6.096 -3.141
-7.815 -8.030 -1.133
-10.762 -6.563 -2.480
0.573 -7.563 -1.794
-3.307 -1.085 -2.490
-6.882 -13.041 -1.784
```

The total magnetic moment comes out at 0.00 μB/f.u. For the raw formation energy, the calculation gives -0.67 eV/atom. The value obtained for the mass density is 7.809 Mg/m³.